<a>
# Pm2InGa2 PBE-GGA optimized geometry
# Magnetization = 0.000 μB per cell
# SG = P4/mbm (127)
data_Pm2InGa2
_cell_length_a 7.378
_cell_length_b 7.378
_cell_length_c 4.541
_cell_angle_alpha 90.00
_cell_angle_beta 90.00
_cell_angle_gamma 90.00
_symmetry_space_group_name_H-M 'P 1'
_symmetry_Int_Tables_number 1
_symmetry_space_group_name_Hall 'P 1'
loop_
_atom_site_label
_atom_site_type_symbol
_atom_site_fract_x
_atom_site_fract_y
_atom_site_fract_z
Pm1 Pm 0.173 0.327 0.000
Pm2 Pm 0.327 0.827 0.000
Pm3 Pm 0.673 0.173 0.000
Pm4 Pm 0.827 0.673 0.000
In1 In 0.000 0.000 0.500
In2 In 0.500 0.500 0.500
Ga1 Ga 0.124 0.624 0.500
Ga2 Ga 0.376 0.124 0.500
Ga3 Ga 0.624 0.876 0.500
Ga4 Ga 0.876 0.376 0.500

=====

<b>
# Pm2InGa2 PBE-GGA optimized geometry
# Magnetization = 0.000 μB per cell
# SG = Cmmm (65)
data_Pm2InGa2
_cell_length_a 7.760
_cell_length_b 7.760
_cell_length_c 3.745
_cell_angle_alpha 90.00
_cell_angle_beta 90.00
_cell_angle_gamma 147.26
_symmetry_space_group_name_H-M 'P 1'
_symmetry_Int_Tables_number 1
_symmetry_space_group_name_Hall 'P 1'
loop_
_atom_site_label
_atom_site_type_symbol
_atom_site_fract_x
_atom_site_fract_y
_atom_site_fract_z
Pm1 Pm 0.126 0.874 0.000
Pm2 Pm 0.874 0.126 0.000
In1 In 0.500 0.500 0.500
Ga1 Ga 0.298 0.702 0.500
Ga2 Ga 0.702 0.298 0.500

=====

Least stable structure among those shown: <b>.